Here is a crystal of K4MgRu relaxed with PBEsol from Alexandria via LeMat-Bulk. Energies are from meta-GGA SCAN.

Cell: 9.674 9.674 9.674 Å, 90.00 90.00 90.00°
Space group F-43m (No. 216)
Unique sites:
K 0.124 0.124 0.124 x16
Mg 0.000 0.000 0.500 x4
Ru 0.250 0.250 0.750 x4

- Energy of formation from the pure elements: 1.022 eV/atom
- Calculated total energy: -267.93 eV/cell